Here is a relaxed Na4ErPu3Se8 crystal from Alexandria. Energies are from PBE. Values from VASP.

Values from the calculation:
D(E_F) ... 36.80 states/eV/cell
Energy relative to the elements, uncorrected ... -1.453 eV per atom
E_tot ... -103.962 eV/f.u.

Structure (Quantum ESPRESSO input):
```
&SYSTEM
  ibrav = 0, nat = 16, ntyp = 4
/
ATOMIC_SPECIES
Na 22.99 Na.upf
Er 167.26 Er.upf
Pu 244.00 Pu.upf
Se 78.96 Se.upf
CELL_PARAMETERS angstrom
7.295 -4.202 0.000
7.295 4.202 0.000
-4.837 0.000 6.941
ATOMIC_POSITIONS crystal
Na 0.000 0.000 0.000
Na 0.000 0.500 0.000
Na 0.500 0.000 0.000
Na 0.500 0.500 0.000
Er 0.000 0.000 0.500
Pu 0.000 0.500 0.500
Pu 0.500 0.000 0.500
Pu 0.500 0.500 0.500
Se 0.240 0.240 0.728
Se 0.241 0.749 0.731
Se 0.251 0.759 0.269
Se 0.256 0.256 0.269
Se 0.744 0.744 0.731
Se 0.749 0.241 0.731
Se 0.759 0.251 0.269
Se 0.760 0.760 0.272
```

---

Here is a relaxed Pm3Ga2Ni7 crystal from Alexandria. Energies are from PBE. Values from VASP.

Values from the calculation:
D(E_F) ... 7.83 states/eV/cell
E_tot ... -66.070 eV/f.u.

Structure (Quantum ESPRESSO input):
```
&SYSTEM
  ibrav = 0, nat = 12, ntyp = 3
/
ATOMIC_SPECIES
Pm 145.00 Pm.upf
Ga 69.72 Ga.upf
Ni 58.69 Ni.upf
CELL_PARAMETERS angstrom
2.611 1.507 8.033
-2.611 1.507 8.033
0.000 -3.015 8.033
ATOMIC_POSITIONS crystal
Pm 0.000 0.000 0.000
Pm 0.141 0.141 0.141
Pm 0.859 0.859 0.859
Ga 0.331 0.331 0.331
Ga 0.669 0.669 0.669
Ni 0.089 0.578 0.578
Ni 0.422 0.422 0.911
Ni 0.422 0.911 0.422
Ni 0.500 0.500 0.500
Ni 0.578 0.089 0.578
Ni 0.578 0.578 0.089
Ni 0.911 0.422 0.422
```

---

Here is a relaxed TaTc2Pt crystal from Alexandria. Energies are from PBE. Values from VASP.

Values from the calculation:
D(E_F) ... 2.23 states/eV/cell
E_tot ... -40.061 eV/f.u.

Structure (Quantum ESPRESSO input):
```
&SYSTEM
  ibrav = 0, nat = 4, ntyp = 3
/
ATOMIC_SPECIES
Ta 180.95 Ta.upf
Tc 98.00 Tc.upf
Pt 195.08 Pt.upf
CELL_PARAMETERS angstrom
3.924 0.000 0.000
0.000 3.924 0.000
0.000 0.000 4.022
ATOMIC_POSITIONS crystal
Ta 0.000 0.000 0.000
Tc 0.000 0.500 0.500
Tc 0.500 0.000 0.500
Pt 0.500 0.500 0.000
```

---

Here is a relaxed Tl3Cr2InTe6 crystal from Alexandria. Energies are from PBE. Values from VASP.

Values from the calculation:
D(E_F) ... 2.82 states/eV/cell
Energy relative to the elements, uncorrected ... -0.257 eV per atom
E_tot ... -51.016 eV/f.u.

Structure (Quantum ESPRESSO input):
```
&SYSTEM
  ibrav = 0, nat = 12, ntyp = 4
/
ATOMIC_SPECIES
Tl 204.38 Tl.upf
Cr 52.00 Cr.upf
In 114.82 In.upf
Te 127.60 Te.upf
CELL_PARAMETERS angstrom
3.654 -6.328 0.000
3.654 6.328 0.000
-2.446 0.000 7.830
ATOMIC_POSITIONS crystal
Tl 0.000 0.000 0.000
Tl 0.343 0.657 0.000
Tl 0.657 0.343 0.000
Cr 0.168 0.832 0.500
Cr 0.832 0.168 0.500
In 0.500 0.500 0.500
Te 0.077 0.435 0.305
Te 0.205 0.205 0.686
Te 0.435 0.077 0.305
Te 0.565 0.923 0.695
Te 0.795 0.795 0.314
Te 0.923 0.565 0.695
```

---

Here is a relaxed BaH3Rh crystal from Alexandria. Energies are from PBE. Values from VASP.

Values from the calculation:
D(E_F) ... 1.01 states/eV/cell
E_tot ... -21.559 eV/f.u.

Structure (Quantum ESPRESSO input):
```
&SYSTEM
  ibrav = 0, nat = 5, ntyp = 3
/
ATOMIC_SPECIES
Ba 137.33 Ba.upf
H 1.01 H.upf
Rh 102.91 Rh.upf
CELL_PARAMETERS angstrom
3.930 0.000 0.000
0.000 3.930 0.000
0.000 0.000 3.930
ATOMIC_POSITIONS crystal
Ba 0.000 0.000 0.000
H 0.000 0.500 0.500
H 0.500 0.000 0.500
H 0.500 0.500 0.000
Rh 0.500 0.500 0.500
```

---

Here is a relaxed Ho7In2Hg2 crystal from Alexandria. Energies are from PBE. Values from VASP.

Values from the calculation:
D(E_F) ... 12.03 states/eV/cell
E_tot ... -39.110 eV/f.u.

Structure (Quantum ESPRESSO input):
```
&SYSTEM
  ibrav = 0, nat = 11, ntyp = 3
/
ATOMIC_SPECIES
Ho 164.93 Ho.upf
In 114.82 In.upf
Hg 200.59 Hg.upf
CELL_PARAMETERS angstrom
3.978 -5.573 0.000
3.978 5.573 0.000
0.000 0.000 7.576
ATOMIC_POSITIONS crystal
Ho 0.000 0.000 0.000
Ho 0.000 0.500 0.281
Ho 0.000 0.500 0.719
Ho 0.500 0.000 0.281
Ho 0.500 0.000 0.719
Ho 0.500 0.500 0.257
Ho 0.500 0.500 0.743
In 0.178 0.178 0.500
In 0.822 0.822 0.500
Hg 0.289 0.711 0.000
Hg 0.711 0.289 0.000
```

---

Here is a relaxed Nd5MgCo crystal from Alexandria. Energies are from PBE. Values from VASP.

Values from the calculation:
D(E_F) ... 16.64 states/eV/cell
E_tot ... -30.676 eV/f.u.

Structure (Quantum ESPRESSO input):
```
&SYSTEM
  ibrav = 0, nat = 14, ntyp = 3
/
ATOMIC_SPECIES
Nd 144.24 Nd.upf
Mg 24.30 Mg.upf
Co 58.93 Co.upf
CELL_PARAMETERS angstrom
6.397 -4.206 0.000
6.397 4.206 0.000
-5.588 0.000 9.054
ATOMIC_POSITIONS crystal
Nd 0.026 0.974 0.750
Nd 0.197 0.271 0.146
Nd 0.271 0.197 0.646
Nd 0.278 0.623 0.532
Nd 0.377 0.722 0.968
Nd 0.623 0.278 0.032
Nd 0.722 0.377 0.468
Nd 0.729 0.803 0.354
Nd 0.803 0.729 0.854
Nd 0.974 0.026 0.250
Mg 0.341 0.659 0.250
Mg 0.659 0.341 0.750
Co 0.000 0.000 0.000
Co 0.000 0.000 0.500
```

---

Here is a relaxed PaBe crystal from Alexandria. Energies are from PBE. Values from VASP.

Values from the calculation:
D(E_F) ... 4.96 states/eV/cell
E_tot ... -12.936 eV/f.u.

Structure (Quantum ESPRESSO input):
```
&SYSTEM
  ibrav = 0, nat = 4, ntyp = 2
/
ATOMIC_SPECIES
Pa 231.04 Pa.upf
Be 9.01 Be.upf
CELL_PARAMETERS angstrom
2.169 -5.025 0.000
2.169 5.025 0.000
0.000 0.000 3.186
ATOMIC_POSITIONS crystal
Pa 0.144 0.856 0.750
Pa 0.856 0.144 0.250
Be 0.432 0.568 0.750
Be 0.568 0.432 0.250
```

---

Here is a relaxed NaYNbCr2 crystal from Alexandria. Energies are from PBE. Values from VASP.

Values from the calculation:
D(E_F) ... 5.77 states/eV/cell
E_tot ... -28.330 eV/f.u.

Structure (Quantum ESPRESSO input):
```
&SYSTEM
  ibrav = 0, nat = 5, ntyp = 4
/
ATOMIC_SPECIES
Na 22.99 Na.upf
Y 88.91 Y.upf
Nb 92.91 Nb.upf
Cr 52.00 Cr.upf
CELL_PARAMETERS angstrom
4.769 0.000 0.000
0.000 4.769 0.000
0.000 0.000 5.140
ATOMIC_POSITIONS crystal
Na 0.000 0.000 0.000
Y 0.000 0.000 0.500
Nb 0.500 0.500 0.500
Cr 0.000 0.500 0.000
Cr 0.500 0.000 0.000
```

---

Here is a relaxed AcPm8Er5 crystal from Alexandria. Energies are from PBE. Values from VASP.

Values from the calculation:
D(E_F) ... 21.47 states/eV/cell
E_tot ... -61.488 eV/f.u.

Structure (Quantum ESPRESSO input):
```
&SYSTEM
  ibrav = 0, nat = 14, ntyp = 3
/
ATOMIC_SPECIES
Ac 227.00 Ac.upf
Pm 145.00 Pm.upf
Er 167.26 Er.upf
CELL_PARAMETERS angstrom
-4.840 4.840 5.224
4.840 -4.840 5.224
4.840 4.840 -5.224
ATOMIC_POSITIONS crystal
Ac 0.000 0.000 0.000
Pm 0.094 0.334 0.427
Pm 0.179 0.426 0.896
Pm 0.333 0.906 0.240
Pm 0.530 0.283 0.104
Pm 0.574 0.470 0.753
Pm 0.666 0.093 0.760
Pm 0.717 0.821 0.247
Pm 0.907 0.667 0.573
Er 0.205 0.026 0.588
Er 0.383 0.795 0.821
Er 0.438 0.617 0.412
Er 0.750 0.250 0.500
Er 0.974 0.562 0.179
```

---

Here is a relaxed PaTiGe2 crystal from Alexandria. Energies are from PBE. Values from VASP.

Values from the calculation:
D(E_F) ... 5.38 states/eV/cell
E_tot ... -23.790 eV/f.u.

Structure (Quantum ESPRESSO input):
```
&SYSTEM
  ibrav = 0, nat = 4, ntyp = 3
/
ATOMIC_SPECIES
Pa 231.04 Pa.upf
Ti 47.87 Ti.upf
Ge 72.64 Ge.upf
CELL_PARAMETERS angstrom
2.180 1.258 7.526
-2.180 1.258 7.526
0.000 -2.517 7.526
ATOMIC_POSITIONS crystal
Pa 0.000 0.000 0.000
Ti 0.500 0.500 0.500
Ge 0.391 0.391 0.391
Ge 0.609 0.609 0.609
```

---

Here is a relaxed Sr2ZrAs2 crystal from Alexandria. Energies are from PBE. Values from VASP.

Values from the calculation:
D(E_F) ... 0.84 states/eV/cell
E_tot ... -25.398 eV/f.u.

Structure (Quantum ESPRESSO input):
```
&SYSTEM
  ibrav = 0, nat = 10, ntyp = 3
/
ATOMIC_SPECIES
Sr 87.62 Sr.upf
Zr 91.22 Zr.upf
As 74.92 As.upf
CELL_PARAMETERS angstrom
7.720 0.000 0.000
0.000 7.720 0.000
0.000 0.000 4.492
ATOMIC_POSITIONS crystal
Sr 0.149 0.351 0.000
Sr 0.351 0.851 0.000
Sr 0.649 0.149 0.000
Sr 0.851 0.649 0.000
Zr 0.000 0.000 0.500
Zr 0.500 0.500 0.500
As 0.166 0.666 0.500
As 0.334 0.166 0.500
As 0.666 0.834 0.500
As 0.834 0.334 0.500
```

---

Here is a relaxed Dy6Zn3Cd crystal from Alexandria. Energies are from PBE. Values from VASP.

Values from the calculation:
D(E_F) ... 21.07 states/eV/cell
E_tot ... -34.429 eV/f.u.

Structure (Quantum ESPRESSO input):
```
&SYSTEM
  ibrav = 0, nat = 20, ntyp = 3
/
ATOMIC_SPECIES
Dy 162.50 Dy.upf
Zn 65.41 Zn.upf
Cd 112.41 Cd.upf
CELL_PARAMETERS angstrom
9.588 0.000 0.000
0.000 4.982 0.000
-1.419 0.000 10.547
ATOMIC_POSITIONS crystal
Dy 0.068 0.250 0.406
Dy 0.136 0.750 0.180
Dy 0.220 0.250 0.962
Dy 0.279 0.750 0.757
Dy 0.376 0.250 0.255
Dy 0.422 0.250 0.588
Dy 0.578 0.750 0.412
Dy 0.624 0.750 0.745
Dy 0.721 0.250 0.243
Dy 0.780 0.750 0.038
Dy 0.864 0.250 0.820
Dy 0.932 0.750 0.594
Zn 0.024 0.750 0.888
Zn 0.118 0.250 0.683
Zn 0.267 0.750 0.459
Zn 0.733 0.250 0.541
Zn 0.882 0.750 0.317
Zn 0.976 0.250 0.112
Cd 0.450 0.750 0.076
Cd 0.550 0.250 0.924
```

---

Here is a relaxed YIn2Ga2 crystal from Alexandria. Energies are from PBE. Values from VASP.

Values from the calculation:
D(E_F) ... 6.50 states/eV/cell
E_tot ... -18.658 eV/f.u.

Structure (Quantum ESPRESSO input):
```
&SYSTEM
  ibrav = 0, nat = 10, ntyp = 3
/
ATOMIC_SPECIES
Y 88.91 Y.upf
In 114.82 In.upf
Ga 69.72 Ga.upf
CELL_PARAMETERS angstrom
8.201 0.000 0.000
0.000 8.201 0.000
0.000 0.000 3.500
ATOMIC_POSITIONS crystal
Y 0.000 0.000 0.000
Y 0.500 0.500 0.000
In 0.129 0.371 0.000
In 0.371 0.871 0.000
In 0.629 0.129 0.000
In 0.871 0.629 0.000
Ga 0.172 0.672 0.500
Ga 0.328 0.172 0.500
Ga 0.672 0.828 0.500
Ga 0.828 0.328 0.500
```

---

Here is a relaxed PbAuBr3 crystal from Alexandria. Energies are from PBE. Values from VASP.

Values from the calculation:
D(E_F) ... 0.00 states/eV/cell
Energy relative to the elements, uncorrected ... -0.562 eV per atom
E_tot ... -14.815 eV/f.u.

Structure (Quantum ESPRESSO input):
```
&SYSTEM
  ibrav = 0, nat = 20, ntyp = 3
/
ATOMIC_SPECIES
Pb 207.20 Pb.upf
Au 196.97 Au.upf
Br 79.90 Br.upf
CELL_PARAMETERS angstrom
7.562 0.000 0.000
0.000 8.151 0.000
-6.770 0.000 11.572
ATOMIC_POSITIONS crystal
Pb 0.139 0.088 0.177
Pb 0.139 0.412 0.677
Pb 0.861 0.588 0.323
Pb 0.861 0.912 0.823
Au 0.326 0.633 0.338
Au 0.326 0.867 0.838
Au 0.674 0.133 0.162
Au 0.674 0.367 0.662
Br 0.113 0.184 0.958
Br 0.113 0.316 0.458
Br 0.196 0.633 0.895
Br 0.196 0.867 0.395
Br 0.462 0.093 0.778
Br 0.462 0.407 0.278
Br 0.538 0.593 0.722
Br 0.538 0.907 0.222
Br 0.804 0.133 0.605
Br 0.804 0.367 0.105
Br 0.887 0.684 0.542
Br 0.887 0.816 0.042
```

---

Here is a relaxed TbCeAu4 crystal from Alexandria. Energies are from PBE. Values from VASP.

Values from the calculation:
D(E_F) ... 9.16 states/eV/cell
E_tot ... -27.975 eV/f.u.

Structure (Quantum ESPRESSO input):
```
&SYSTEM
  ibrav = 0, nat = 6, ntyp = 3
/
ATOMIC_SPECIES
Tb 158.93 Tb.upf
Ce 140.12 Ce.upf
Au 196.97 Au.upf
CELL_PARAMETERS angstrom
4.134 -2.385 0.000
4.134 2.385 0.000
-0.008 0.000 6.871
ATOMIC_POSITIONS crystal
Tb 0.000 0.000 0.000
Ce 0.000 0.000 0.500
Au 0.333 0.333 0.240
Au 0.333 0.333 0.760
Au 0.667 0.667 0.240
Au 0.667 0.667 0.760
```

---

Here is a relaxed NaLi2Cu crystal from Alexandria. Energies are from PBE. Values from VASP.

Values from the calculation:
D(E_F) ... 1.48 states/eV/cell
E_tot ... -8.625 eV/f.u.

Structure (Quantum ESPRESSO input):
```
&SYSTEM
  ibrav = 0, nat = 4, ntyp = 3
/
ATOMIC_SPECIES
Na 22.99 Na.upf
Li 6.94 Li.upf
Cu 63.55 Cu.upf
CELL_PARAMETERS angstrom
4.249 0.000 0.000
0.000 4.249 0.000
0.000 0.000 4.166
ATOMIC_POSITIONS crystal
Na 0.000 0.000 0.000
Li 0.000 0.500 0.500
Li 0.500 0.000 0.500
Cu 0.500 0.500 0.000
```

---

Here is a relaxed Na2LaBr crystal from Alexandria. Energies are from PBE. Values from VASP.

Values from the calculation:
D(E_F) ... 3.07 states/eV/cell
Energy relative to the elements, uncorrected ... 0.053 eV per atom
E_tot ... -9.025 eV/f.u.

Structure (Quantum ESPRESSO input):
```
&SYSTEM
  ibrav = 0, nat = 4, ntyp = 3
/
ATOMIC_SPECIES
Na 22.99 Na.upf
La 138.91 La.upf
Br 79.90 Br.upf
CELL_PARAMETERS angstrom
0.000 4.057 4.057
4.057 0.000 4.057
4.057 4.057 0.000
ATOMIC_POSITIONS crystal
Na 0.250 0.250 0.250
Na 0.750 0.750 0.750
La 0.000 0.000 0.000
Br 0.500 0.500 0.500
```

---

Here is a relaxed KAl2GaTc crystal from Alexandria. Energies are from PBE. Values from VASP.

Values from the calculation:
D(E_F) ... 2.80 states/eV/cell
E_tot ... -22.379 eV/f.u.

Structure (Quantum ESPRESSO input):
```
&SYSTEM
  ibrav = 0, nat = 5, ntyp = 4
/
ATOMIC_SPECIES
K 39.10 K.upf
Al 26.98 Al.upf
Ga 69.72 Ga.upf
Tc 98.00 Tc.upf
CELL_PARAMETERS angstrom
4.870 0.000 0.000
0.000 4.870 0.000
0.000 0.000 4.942
ATOMIC_POSITIONS crystal
K 0.000 0.000 0.000
Al 0.000 0.500 0.500
Al 0.500 0.000 0.500
Ga 0.500 0.500 0.000
Tc 0.500 0.500 0.500
```

---

Here is a relaxed ScSiSbO2 crystal from Alexandria. Energies are from PBE. Values from VASP.

Values from the calculation:
D(E_F) ... 1.18 states/eV/cell
Energy relative to the elements, uncorrected ... -0.597 eV per atom
E_tot ... -28.779 eV/f.u.

Structure (Quantum ESPRESSO input):
```
&SYSTEM
  ibrav = 0, nat = 5, ntyp = 4
/
ATOMIC_SPECIES
Sc 44.96 Sc.upf
Si 28.09 Si.upf
Sb 121.76 Sb.upf
O 16.00 O.upf
CELL_PARAMETERS angstrom
4.009 0.000 0.000
0.000 4.009 0.000
0.000 0.000 5.345
ATOMIC_POSITIONS crystal
Sc 0.000 0.000 0.000
Si 0.500 0.500 0.000
Sb 0.500 0.500 0.500
O 0.000 0.500 0.500
O 0.500 0.000 0.500
```